A relaxed structure of NaSrNiSb. Source: OQMD via LeMat-Bulk, functional PBE.

Cell and atoms, written as extended XYZ:
```
4
Lattice="0.000 3.710 3.710 3.710 0.000 3.710 3.710 3.710 0.000" Properties=species:S:1:pos:R:3 pbc="T T T"
Na 0.000 0.000 0.000
Sr 3.710 3.710 3.710
Ni 1.855 1.855 1.855
Sb 5.565 5.565 5.565
```

## Properties
* raw total energy: -3.2242 eV/atom
* offset from the most stable computed form: 0.1836 eV per atom